VASP calculation (SCAN) on a crystal of CaCr2Tc relaxed with PBEsol.

- VASP energy (eV per formula unit) = -77.85
- crystal system = trigonal
- E above lowest polymorph (eV per atom) = 0.2743
- ΔE_f (eV/atom) = 0.909

Lattice parameters (Å, degrees): 8.824 8.824 8.824 18.89 18.89 18.89
Positions (direct):
Ca  0.000  0.000  0.000
Cr  0.235  0.235  0.235
Cr  0.765  0.765  0.765
Tc  0.500  0.500  0.500